No. 1
This record from Alexandria describes a geometry-optimized AsOsS2N structure. The functional is PBE.

Mass density, g cm⁻³: 7.4
Formation energy from raw total energies, eV per formula unit: 7.98
Energy above the lowest structure with this stoichiometry, meV/atom: 1013
Uncorrected energy, eV per atom: -4.8964
Total magnetic moment, Bohr magnetons per cell: 0.73

a b c (Å): 4.7666 4.7666 3.4077
angles (deg): 90.00 90.00 90.00
Element x y z (fractional)
As1 0.0000 0.0000 0.0000
Os1 0.5000 0.5000 0.5000
S1 0.0000 0.5000 0.0000
S2 0.5000 0.0000 0.0000
N1 0.0000 0.0000 0.5000


No. 2
This record from Alexandria describes a geometry-optimized Co2Sn2Pd structure. The functional is PBE.

Mass density, g cm⁻³: 8.9
Energy above the lowest structure with this stoichiometry, meV/atom: 51
E_form, kJ/mol of atoms: 4.1
Uncorrected energy, eV per atom: -5.4397
Total magnetic moment, Bohr magnetons per cell: 2.93

a b c (Å): 3.2852 3.2852 8.2935
angles (deg): 78.58 78.58 90.00
Element x y z (fractional)
Co1 0.7500 0.2500 0.5000
Co2 0.2500 0.7500 0.5000
Sn1 0.3884 0.3884 0.2232
Sn2 0.6116 0.6116 0.7768
Pd1 0.0000 0.0000 0.0000


No. 3
This record from Alexandria describes a geometry-optimized AcYErTm structure. The functional is PBE.

Mass density, g cm⁻³: 7.9
Energy above the lowest structure with this stoichiometry, meV/atom: 0
E_form, kJ/mol of atoms: 7.4
Uncorrected energy, eV per atom: -4.8253
Total magnetic moment, Bohr magnetons per cell: 0.00

a b c (Å): 3.6707 3.6712 11.9196
angles (deg): 90.00 98.84 120.00
Element x y z (fractional)
Ac1 0.9683 0.3821 0.3656
Y1 0.4781 0.1369 0.6306
Er1 0.3035 0.5497 0.8688
Tm1 0.1280 0.9620 0.1046


No. 4
This record from Alexandria describes a geometry-optimized La2Sm6Er3 structure. The functional is PBE.

Mass density, g cm⁻³: 7.2
Energy above the lowest structure with this stoichiometry, meV/atom: 0
E_form, kJ/mol of atoms: 16.4
Uncorrected energy, eV per atom: -4.5442
Total magnetic moment, Bohr magnetons per cell: 0.00

a b c (Å): 6.1875 6.1907 11.8888
angles (deg): 84.96 79.88 60.02
Element x y z (fractional)
La1 0.1672 0.6656 0.5000
La2 0.8328 0.3344 0.5000
Sm1 0.4150 0.6669 0.7560
Sm2 0.7485 0.0000 0.7559
Sm3 0.0819 0.3331 0.7560
Sm4 0.2515 0.0000 0.2441
Sm5 0.5850 0.3331 0.2440
Sm6 0.9181 0.6669 0.2440
Er1 0.0000 0.0000 0.0000
Er2 0.3345 0.3309 0.0000
Er3 0.6655 0.6691 0.0000


No. 5
This record from Alexandria describes a geometry-optimized Ag4Au structure. The functional is PBE.

Mass density, g cm⁻³: 7.7
Energy above the lowest structure with this stoichiometry, meV/atom: 717
E_form, kJ/mol of atoms: 67.2
Uncorrected energy, eV per atom: -2.2404
Total magnetic moment, Bohr magnetons per cell: 0.00

a b c (Å): 5.1461 5.1461 5.1461
angles (deg): 90.00 90.00 90.00
Element x y z (fractional)
Au1 0.5000 0.5000 0.5000
Ag1 0.0000 0.0000 0.0000
Ag2 0.5000 0.0000 0.5000
Ag3 0.0000 0.5000 0.5000
Ag4 0.5000 0.5000 0.0000


No. 6
This record from Alexandria describes a geometry-optimized La3PmAg structure. The functional is PBE.

Mass density, g cm⁻³: 6.7
Energy above the lowest structure with this stoichiometry, meV/atom: 0
E_form, kJ/mol of atoms: -7.4
Uncorrected energy, eV per atom: -4.5537
Total magnetic moment, Bohr magnetons per cell: 0.00

a b c (Å): 3.8284 6.4763 14.3291
angles (deg): 102.60 90.00 107.19
Element x y z (fractional)
La1 0.0162 0.0324 0.3191
La2 0.9838 0.9676 0.6809
La3 0.3801 0.7602 0.0899
La4 0.6199 0.2398 0.9101
La5 0.2705 0.5409 0.7521
La6 0.7295 0.4591 0.2479
Pm1 0.6461 0.2922 0.5413
Pm2 0.3539 0.7078 0.4587
Ag1 0.9063 0.8125 0.9141
Ag2 0.0937 0.1875 0.0859


No. 7
This record from Alexandria describes a geometry-optimized ScCd4Au5 structure. The functional is PBE.

Mass density, g cm⁻³: 12.6
E_form, kJ/mol of atoms: -32.2
Uncorrected energy, eV per atom: -2.9715
Total magnetic moment, Bohr magnetons per cell: 0.00

a b c (Å): 3.4099 3.4099 16.8151
angles (deg): 90.00 90.00 90.00
Element x y z (fractional)
Sc1 0.0000 0.0000 0.0000
Cd1 0.0000 0.0000 0.1993
Cd2 0.0000 0.0000 0.4002
Cd3 0.0000 0.0000 0.5998
Cd4 0.0000 0.0000 0.8007
Au1 0.5000 0.5000 0.0945
Au2 0.5000 0.5000 0.3009
Au3 0.5000 0.5000 0.5000
Au4 0.5000 0.5000 0.6991
Au5 0.5000 0.5000 0.9055


No. 8
This record from Alexandria describes a geometry-optimized TcAu2S structure. The functional is PBE.

Mass density, g cm⁻³: 11.9
Formation energy from raw total energies, eV per formula unit: 2.18
Energy above the lowest structure with this stoichiometry, meV/atom: 0
Uncorrected energy, eV per atom: -4.7179
Total magnetic moment, Bohr magnetons per cell: 5.91

a b c (Å): 7.4757 7.4757 5.8943
angles (deg): 50.64 50.64 90.00
Element x y z (fractional)
S1 0.5000 0.5000 0.0000
S2 0.2500 0.7500 0.5000
Au1 0.6057 0.1250 0.2500
Au2 0.1443 0.6250 0.2500
Au3 0.3750 0.3943 0.7500
Au4 0.8750 0.8557 0.7500
Tc1 0.0000 0.0000 0.0000
Tc2 0.7500 0.2500 0.5000


No. 9
This record from Alexandria describes a geometry-optimized Os2SI structure. The functional is PBE.

Mass density, g cm⁻³: 13.6
Formation energy from raw total energies, eV per formula unit: 5.65
Energy above the lowest structure with this stoichiometry, meV/atom: 652
Uncorrected energy, eV per atom: -5.6209
Total magnetic moment, Bohr magnetons per cell: 0.00

a b c (Å): 4.5321 4.5321 4.5321
angles (deg): 60.00 60.00 60.00
Element x y z (fractional)
I1 0.5000 0.5000 0.5000
S1 0.0000 0.0000 0.0000
Os1 0.2500 0.2500 0.2500
Os2 0.7500 0.7500 0.7500


No. 10
This record from Alexandria describes a geometry-optimized Pr2ErThTe5 structure. The functional is PBE.

Mass density, g cm⁻³: 6.2
Formation energy from raw total energies, eV per formula unit: -6.53
Uncorrected energy, eV per atom: -4.8641
Total magnetic moment, Bohr magnetons per cell: 0.01

a b c (Å): 5.4713 5.4713 11.8014
angles (deg): 90.00 90.00 90.00
Element x y z (fractional)
Pr1 0.5000 0.5000 0.3394
Pr2 0.5000 0.5000 0.6606
Er1 0.0000 0.0000 0.5000
Th1 0.0000 0.0000 0.0000
Te1 0.0000 0.5000 0.5000
Te2 0.5000 0.0000 0.5000
Te3 0.0000 0.0000 0.7513
Te4 0.0000 0.0000 0.2487
Te5 0.5000 0.5000 0.0000


No. 11
This record from Alexandria describes a geometry-optimized AgHg2Pt structure. The functional is PBE.

Mass density, g cm⁻³: 14.8
Energy above the lowest structure with this stoichiometry, meV/atom: 63
E_form, kJ/mol of atoms: 12.1
Uncorrected energy, eV per atom: -2.2485
Total magnetic moment, Bohr magnetons per cell: 0.00

a b c (Å): 10.3882 10.3882 10.3882
angles (deg): 16.54 16.54 16.54
Element x y z (fractional)
Ag1 0.7556 0.7556 0.7556
Hg1 0.0070 0.0070 0.0070
Hg2 0.2416 0.2416 0.2416
Pt1 0.4958 0.4958 0.4958


No. 12
This record from Alexandria describes a geometry-optimized La6Pt2Rh structure. The functional is PBE.

Mass density, g cm⁻³: 7.9
E_form, kJ/mol of atoms: -71.6
Uncorrected energy, eV per atom: -6.1858
Total magnetic moment, Bohr magnetons per cell: 0.00

a b c (Å): 6.9572 7.5616 10.6924
angles (deg): 90.00 85.37 90.00
Element x y z (fractional)
La1 0.1627 0.0499 0.2471
La2 0.1728 0.3228 0.5796
La3 0.1761 0.3153 0.9321
La4 0.3239 0.8153 0.5679
La5 0.3272 0.8228 0.9204
La6 0.3373 0.5499 0.2529
La7 0.8373 0.9501 0.7529
La8 0.8272 0.6772 0.4204
La9 0.8239 0.6847 0.0679
La10 0.6761 0.1847 0.4321
La11 0.6728 0.1772 0.0796
La12 0.6627 0.4501 0.7471
Pt1 0.0527 0.6138 0.7783
Pt2 0.4473 0.1138 0.7217
Pt3 0.5527 0.8862 0.2783
Pt4 0.9473 0.3862 0.2217
Rh1 0.5000 0.5000 0.0000
Rh2 0.0000 0.0000 0.5000


No. 13
This record from Alexandria describes a geometry-optimized U3Tl4AgS8 structure. The functional is PBE.

Mass density, g cm⁻³: 7.5
Formation energy from raw total energies, eV per formula unit: -14.31
Uncorrected energy, eV per atom: -5.8441
Total magnetic moment, Bohr magnetons per cell: 7.00

a b c (Å): 7.9897 8.8755 7.9898
angles (deg): 116.76 120.00 90.00
Element x y z (fractional)
U1 0.5000 0.5000 0.0000
U2 0.5000 0.5000 0.5000
U3 0.0000 0.5000 0.5000
Tl1 0.5000 0.0000 0.0000
Tl2 0.5000 0.0000 0.5000
Tl3 0.0000 0.0000 0.0000
Tl4 0.0000 0.0000 0.5000
Ag1 0.0000 0.5000 0.0000
S1 0.2395 0.6981 0.9586
S2 0.2395 0.6981 0.4789
S3 0.2674 0.3022 0.5348
S4 0.7191 0.6981 0.9586
S5 0.2809 0.3019 0.0414
S6 0.7326 0.6978 0.4652
S7 0.7605 0.3019 0.5211
S8 0.7605 0.3019 0.0414


No. 14
This record from Alexandria describes a geometry-optimized BaRuAu structure. The functional is PBE.

Mass density, g cm⁻³: 8.2
Energy above the lowest structure with this stoichiometry, meV/atom: 998
E_form, kJ/mol of atoms: 113.2
Uncorrected energy, eV per atom: -3.6523
Total magnetic moment, Bohr magnetons per cell: 0.93

a b c (Å): 4.9862 4.9862 4.9862
angles (deg): 60.00 60.00 60.00
Element x y z (fractional)
Au1 0.5000 0.5000 0.5000
Ba1 0.2500 0.2500 0.2500
Ru1 0.0000 0.0000 0.0000


No. 15
This record from Alexandria describes a geometry-optimized CsTbIn2Cl6 structure. The functional is PBE.

Mass density, g cm⁻³: 3.2
Formation energy from raw total energies, eV per formula unit: -16.63
Uncorrected energy, eV per atom: -3.8675
Total magnetic moment, Bohr magnetons per cell: 0.00

a b c (Å): 7.9682 7.9718 8.2689
angles (deg): 61.08 61.06 59.81
Element x y z (fractional)
Cs1 0.8079 0.8087 0.5745
Tb1 0.3234 0.3232 0.0299
In1 0.5239 0.5237 0.4292
In2 0.0134 0.0136 0.9594
Cl1 0.5512 0.2321 0.2313
Cl2 0.2317 0.9852 0.2327
Cl3 0.9845 0.5523 0.2314
Cl4 0.3840 0.6796 0.7748
Cl5 0.6809 0.1592 0.7762
Cl6 0.1608 0.3839 0.7758


No. 16
This record from Alexandria describes a geometry-optimized DyTmRu structure. The functional is PBE.

Mass density, g cm⁻³: 9.8
Energy above the lowest structure with this stoichiometry, meV/atom: 0
E_form, kJ/mol of atoms: -36.3
Uncorrected energy, eV per atom: -6.4928
Total magnetic moment, Bohr magnetons per cell: 0.00

a b c (Å): 3.3806 3.3806 6.8534
angles (deg): 104.28 104.28 90.00
Element x y z (fractional)
Ru1 0.6683 0.6683 0.3366
Tm1 0.2931 0.2931 0.5863
Dy1 0.0385 0.0385 0.0771


No. 17
This record from Alexandria describes a geometry-optimized SrCrW structure. The functional is PBE.

Mass density, g cm⁻³: 8.4
Energy above the lowest structure with this stoichiometry, meV/atom: 274
E_form, kJ/mol of atoms: 104.6
Uncorrected energy, eV per atom: -7.0022
Total magnetic moment, Bohr magnetons per cell: 0.00

a b c (Å): 3.2179 3.2179 7.1386
angles (deg): 90.00 90.00 120.00
Element x y z (fractional)
Cr1 0.0000 0.0000 0.9431
Sr1 0.3333 0.6667 0.3264
W1 0.6667 0.3333 0.7305


No. 18
This record from Alexandria describes a geometry-optimized Tm4InHg2 structure. The functional is PBE.

Mass density, g cm⁻³: 10.4
Energy above the lowest structure with this stoichiometry, meV/atom: 0
E_form, kJ/mol of atoms: -27.9
Uncorrected energy, eV per atom: -3.3221
Total magnetic moment, Bohr magnetons per cell: 0.00

a b c (Å): 5.1376 5.1376 8.8547
angles (deg): 73.14 73.14 60.00
Element x y z (fractional)
Tm1 0.8710 0.8710 0.3870
Tm2 0.1290 0.1290 0.6130
Tm3 0.6178 0.6178 0.1465
Tm4 0.3822 0.3822 0.8535
Hg1 0.7500 0.7500 0.7500
Hg2 0.2500 0.2500 0.2500
In1 0.0000 0.0000 0.0000


No. 19
This record from Alexandria describes a geometry-optimized Cs2SeCl2F4 structure. The functional is PBE.

Mass density, g cm⁻³: 3.5
Formation energy from raw total energies, eV per formula unit: -17.18
Uncorrected energy, eV per atom: -3.7281
Total magnetic moment, Bohr magnetons per cell: 0.00

a b c (Å): 6.7654 6.7654 6.7654
angles (deg): 96.91 116.09 116.09
Element x y z (fractional)
Cs1 0.5000 0.7500 0.2500
Cs2 0.5000 0.2500 0.7500
Se1 0.0000 0.0000 0.0000
Cl1 0.0000 0.7260 0.7260
Cl2 0.0000 0.2740 0.2740
F1 0.0000 0.8065 0.1935
F2 0.6130 0.8065 0.8065
F3 0.0000 0.1935 0.8065
F4 0.3870 0.1935 0.1935


No. 20
This record from Alexandria describes a geometry-optimized IrAuSCl2 structure. The functional is PBE.

Mass density, g cm⁻³: 7.4
Formation energy from raw total energies, eV per formula unit: 2.11
Energy above the lowest structure with this stoichiometry, meV/atom: 0
Uncorrected energy, eV per atom: -3.5702
Total magnetic moment, Bohr magnetons per cell: 0.00

a b c (Å): 4.9861 4.9861 4.4269
angles (deg): 90.00 90.00 90.00
Element x y z (fractional)
S1 0.0000 0.0000 0.5000
Ir1 0.0000 0.0000 0.0000
Au1 0.5000 0.5000 0.5000
Cl1 0.0000 0.5000 0.0000
Cl2 0.5000 0.0000 0.0000